1.
Computed, not measured: a relaxed structure of AlAg2 at the PBE level of DFT.

Summary:
- mass density (kg/m³) = 6972
- ΔE_f (eV per atom) = 0.204
- N(E_F) (states/eV per atom) = 0.26

Geometry as POSCAR:
```
AlAg2
1.0
5.443 0.000 0.000
-2.722 4.714 0.000
0.000 0.000 9.012
Al Ag
4 8
direct
0.333 0.667 0.024
0.333 0.667 0.476
0.667 0.333 0.524
0.667 0.333 0.976
0.000 0.000 0.000
0.000 0.000 0.500
0.170 0.339 0.750
0.170 0.830 0.750
0.339 0.170 0.250
0.661 0.830 0.750
0.830 0.170 0.250
0.830 0.661 0.250
```


2.
Computed, not measured: a relaxed structure of Al5Ag3 at the PBE level of DFT.

Summary:
- mass density (kg/m³) = 5635
- ΔE_f (eV per atom) = -0.013
- N(E_F) (states/eV per atom) = 0.25

Geometry as POSCAR:
```
Al5Ag3
1.0
2.910 -4.060 0.000
2.910 4.060 0.000
-2.908 0.000 5.718
Al Ag
5 3
direct
0.000 0.000 0.000
0.255 0.255 0.508
0.374 0.873 0.745
0.500 0.500 0.000
0.873 0.374 0.745
0.119 0.619 0.238
0.619 0.119 0.238
0.759 0.759 0.515
```


3.
Computed, not measured: a relaxed structure of Al3Ag5 at the PBE level of DFT.

Summary:
- mass density (kg/m³) = 7600
- ΔE_f (eV per atom) = -0.036
- N(E_F) (states/eV per atom) = 0.17

Geometry as POSCAR:
```
Al3Ag5
1.0
-1.894 2.116 8.458
1.894 -2.116 8.458
1.894 2.116 -8.458
Al Ag
3 5
direct
0.000 0.000 0.000
0.373 0.873 0.500
0.627 0.127 0.500
0.119 0.619 0.500
0.253 0.253 0.000
0.500 0.500 0.000
0.747 0.747 0.000
0.881 0.381 0.500
```


4.
Computed, not measured: a relaxed structure of Al5Ag3 at the PBE level of DFT.

Summary:
- mass density (kg/m³) = 5618
- ΔE_f (eV per atom) = -0.022
- N(E_F) (states/eV per atom) = 0.32

Geometry as POSCAR:
```
Al5Ag3
1.0
6.195 -1.467 0.000
6.195 1.467 0.000
-5.490 0.000 7.458
Al Ag
5 3
direct
0.000 0.000 0.000
0.120 0.120 0.374
0.373 0.373 0.127
0.627 0.627 0.873
0.880 0.880 0.626
0.259 0.259 0.754
0.500 0.500 0.500
0.741 0.741 0.246
```


5.
Computed, not measured: a relaxed structure of AlAg at the PBE level of DFT.

Summary:
- mass density (kg/m³) = 4593
- ΔE_f (eV per atom) = 0.081
- N(E_F) (states/eV per atom) = 0.28

Geometry as POSCAR:
```
AlAg
1.0
-4.501 4.501 2.406
4.501 -4.501 2.406
4.501 4.501 -2.406
Al Ag
4 4
direct
0.105 0.605 0.710
0.395 0.105 0.500
0.605 0.895 0.500
0.895 0.395 0.290
0.189 0.311 0.500
0.311 0.811 0.122
0.689 0.189 0.878
0.811 0.689 0.500
```


6.
Computed, not measured: a relaxed structure of Al3Ag at the PBE level of DFT.

Summary:
- mass density (kg/m³) = 4583
- ΔE_f (eV per atom) = 0.055
- N(E_F) (states/eV per atom) = 0.37

Geometry as POSCAR:
```
Al3Ag
1.0
-1.419 4.899 2.461
1.419 -4.899 2.461
1.419 4.899 -2.461
Al Ag
3 1
direct
0.000 0.000 0.000
0.090 0.340 0.750
0.590 0.340 0.250
0.503 0.003 0.500
```


7.
Computed, not measured: a relaxed structure of Al2Ag3 at the PBE level of DFT.

Summary:
- mass density (kg/m³) = 7352
- ΔE_f (eV per atom) = -0.026
- N(E_F) (states/eV per atom) = 0.22

Geometry as POSCAR:
```
Al2Ag3
1.0
1.475 0.852 11.310
-1.475 0.852 11.310
0.000 -1.704 11.310
Al Ag
2 3
direct
0.101 0.101 0.101
0.899 0.899 0.899
0.297 0.297 0.297
0.500 0.500 0.500
0.703 0.703 0.703
```


8.
Computed, not measured: a relaxed structure of AlAg at the PBE level of DFT.

Summary:
- mass density (kg/m³) = 5758
- ΔE_f (eV per atom) = 0.161
- N(E_F) (states/eV per atom) = 0.52

Geometry as POSCAR:
```
AlAg
1.0
4.034 0.000 0.000
-2.017 3.494 0.000
0.000 0.000 5.519
Al Ag
2 2
direct
0.000 0.000 0.000
0.000 0.000 0.500
0.333 0.667 0.250
0.667 0.333 0.750
```